i) VASP calculation (PBE) on a geometry-optimized Ti6NbSb structure.

CIF file:
```
data_Ti6NbSb
_chemical_formula_sum 'Ti12 Nb2 Sb2'
_symmetry_space_group_name_H-M 'A m m 2'
_symmetry_Int_Tables_number 38
_symmetry_space_group_name_Hall 'A 2 -2'
_cell_length_a 4.507
_cell_length_b 6.672
_cell_length_c 9.410
_cell_angle_alpha 90.00
_cell_angle_beta 90.00
_cell_angle_gamma 90.00
loop_
_atom_site_label
_atom_site_fract_x
_atom_site_fract_y
_atom_site_fract_z
Ti1 0.000 0.000 0.000
Ti2 0.000 0.227 0.758
Ti3 0.500 0.000 0.792
Ti4 0.500 0.239 0.528
Nb1 0.000 0.000 0.515
Sb1 0.500 0.000 0.274
```

---

ii) VASP calculation (PBE) on a geometry-optimized Ti6NbSb structure.

CIF file:
```
data_Ti6NbSb
_chemical_formula_sum 'Ti18 Nb3 Sb3'
_symmetry_space_group_name_H-M 'R -3 m'
_symmetry_Int_Tables_number 166
_symmetry_space_group_name_Hall '-R 3 2"'
_cell_length_a 9.5084
_cell_length_b 9.5084
_cell_length_c 5.6086
_cell_angle_alpha 90.00
_cell_angle_beta 90.00
_cell_angle_gamma 120.00
loop_
_atom_site_label
_atom_site_fract_x
_atom_site_fract_y
_atom_site_fract_z
Ti1 0.0031 0.5016 0.2419
Nb1 0.0000 0.0000 0.5000
Sb1 0.0000 0.0000 0.0000
```

---

Most stable = i)

---

i) VASP calculation (PBE) on a geometry-optimized TiNbSb2 structure.

CIF file:
```
data_TiNbSb2
_chemical_formula_sum 'Ti3 Nb3 Sb6'
_symmetry_space_group_name_H-M 'R -3 m'
_symmetry_Int_Tables_number 166
_symmetry_space_group_name_Hall '-R 3 2"'
_cell_length_a 3.1517
_cell_length_b 3.1517
_cell_length_c 30.3503
_cell_angle_alpha 90.00
_cell_angle_beta 90.00
_cell_angle_gamma 120.00
loop_
_atom_site_label
_atom_site_fract_x
_atom_site_fract_y
_atom_site_fract_z
Ti1 0.0000 0.0000 0.0000
Nb1 0.0000 0.0000 0.5000
Sb1 0.0000 0.0000 0.4058
```

---

ii) VASP calculation (PBE) on a geometry-optimized TiNbSb2 structure.

CIF file:
```
data_TiNbSb2
_chemical_formula_sum 'Ti4 Nb4 Sb8'
_symmetry_space_group_name_H-M 'I -4 2 d'
_symmetry_Int_Tables_number 122
_symmetry_space_group_name_Hall 'I -4 2bw'
_cell_length_a 6.374
_cell_length_b 6.374
_cell_length_c 12.621
_cell_angle_alpha 90.00
_cell_angle_beta 90.00
_cell_angle_gamma 90.00
loop_
_atom_site_label
_atom_site_fract_x
_atom_site_fract_y
_atom_site_fract_z
Ti1 0.000 0.000 0.000
Nb1 0.000 0.000 0.500
Sb1 0.248 0.250 0.125
```

---

Most stable = i)